Entry 1:
Compound: LiMnCl2
Source: the Alexandria database
Functional: GGA-PBE
Structure: relaxed

Output
Energy above the most stable polymorph in this dataset = 150 meV/atom
Crystal system = monoclinic
Energy relative to the elements, uncorrected = -813 meV/atom
Space group = Cm, No. 8

extended XYZ file:
```
4
Lattice="-2.829 6.002 -1.886 -5.377 4.318 -0.180 1.050 1.466 3.014" Properties=species:S:1:pos:R:3 pbc="T T T"
Cl 0.021 0.330 0.356
Cl -5.416 8.544 0.347
Li -3.815 6.545 0.764
Mn -1.525 2.260 -0.046
```


Entry 2:
Compound: YAlSe3
Source: the Alexandria database
Functional: GGA-PBE
Structure: relaxed

Output
Energy above the most stable polymorph in this dataset = 104 meV/atom
Crystal system = monoclinic
Energy relative to the elements, uncorrected = -1267 meV/atom
Space group = C2/c, No. 15

extended XYZ file:
```
20
Lattice="-4.607 12.582 -3.750 -8.454 3.428 0.527 -1.313 -4.511 7.838" Properties=species:S:1:pos:R:3 pbc="T T T"
Y -5.392 1.803 1.932
Y -8.326 7.587 -0.744
Y -8.982 9.695 2.684
Y -6.049 3.911 5.359
Al -5.812 6.992 2.563
Al -8.562 4.506 2.052
Al -8.286 11.083 -2.032
Al -6.089 0.415 6.647
Se -6.055 4.481 2.448
Se -9.901 0.295 7.369
Se -8.320 7.017 2.168
Se -4.474 11.203 -2.754
Se -2.768 0.770 1.428
Se -8.893 4.483 4.712
Se -11.607 10.728 3.188
Se -5.481 7.015 -0.096
Se -11.791 7.157 5.023
Se -7.762 10.313 0.180
Se -2.584 4.341 -0.407
Se -6.612 1.185 4.435
```


Entry 3:
Compound: CrNi2Ru
Source: the Alexandria database
Functional: GGA-PBE
Structure: relaxed

Output
Crystal system = monoclinic
Space group = Cm, No. 8

extended XYZ file:
```
4
Lattice="4.412 -0.002 0.002 3.675 2.440 0.002 0.681 0.205 4.418" Properties=species:S:1:pos:R:3 pbc="T T T"
Cr 2.236 0.674 1.098
Ni 8.757 2.640 4.391
Ni 6.576 1.983 3.378
Ru 4.349 1.311 2.188
```


Entry 4:
Compound: InNi3Ge
Source: the Alexandria database
Functional: GGA-PBE
Structure: relaxed

Output
Energy above the most stable polymorph in this dataset = 0 meV/atom
Crystal system = triclinic
Space group = P1, No. 1

extended XYZ file:
```
10
Lattice="5.203 -0.001 -0.004 2.595 4.417 -0.445 2.585 0.869 6.137" Properties=species:S:1:pos:R:3 pbc="T T T"
In 4.985 2.656 1.801
In 7.565 4.715 4.327
Ni 1.132 0.497 2.418
Ni 6.200 2.416 5.972
Ni 4.960 3.833 4.161
Ni 1.160 1.546 -0.155
Ni 2.384 2.661 1.964
Ni 3.631 0.499 2.415
Ge 7.578 1.809 4.109
Ge 7.578 4.040 0.118
```


DFT total energy readings, ordered: -4.51 -5.40 -7.53 -5.05 eV per atom